(1)
First-principles (PBE-GGA) data for a geometry-optimized SrZn structure, as listed in OQMD via LeMat-Bulk.

Summary:
E, eV/atom: -1.536

Cell lengths 7.0127, 4.9168, 10.6321 Å; angles 90.00, 90.07, 90.00 degrees
With the nearest neighbours (Å) after each atom.
Space group Pm (No. 6)
Asymmetric unit:
Sr (0.0000, 0.0000, 0.0000)  4 Zn 3.09-3.25
Sr (0.1111, 0.5000, 0.4206)  2 Zn 3.05-3.12
Sr (0.3039, 0.5000, 0.8192)  5 Zn 3.20-3.51
Sr (0.4991, 0.0000, 0.5380)  4 Zn 3.09-3.25
Sr (0.6127, 0.5000, 0.1166)  2 Zn 3.05-3.11
Sr (0.8038, 0.5000, 0.7183)  5 Zn 3.20-3.51
Zn (0.0824, 0.0000, 0.6603)  7 Sr 3.20-3.55
Zn (0.1697, 0.5000, 0.1368)  2 Zn 2.82, 4 Sr 3.05-3.11
Zn (0.3069, 0.0000, 0.2297)  2 Zn 2.82
Zn (0.5828, 0.0000, 0.8773)  7 Sr 3.20-3.54
Zn (0.6678, 0.5000, 0.4008)  2 Zn 2.82, 4 Sr 3.05-3.12
Zn (0.8037, 0.0000, 0.3081)  2 Zn 2.82



(2)
First-principles (PBE-GGA) data for a geometry-optimized SrZn2 structure, as listed in OQMD via LeMat-Bulk.

Summary:
E, eV/atom: -1.528

Cell lengths 3.9916, 14.8522, 4.8007 Å; angles 90.00, 90.00, 90.00 degrees
With the nearest neighbours (Å) after each atom.
Space group Cmcm (No. 63)
Asymmetric unit:
Sr (0.0000, 0.0871, 0.2500)  8 Zn 3.18-3.37, 2 Sr 3.53
Zn (0.0000, 0.2462, 0.7500)  2 Zn 2.58
Zn (0.0000, 0.3635, 0.2500)  2 Zn 2.58



(3)
First-principles (PBE-GGA) data for a geometry-optimized SrZn structure, as listed in OQMD via LeMat-Bulk.

Summary:
E, eV/atom: -1.138

Cell lengths 7.0909, 7.0909, 7.0909 Å; angles 90.00, 90.00, 90.00 degrees
With the nearest neighbours (Å) after each atom.
Space group F-43m (No. 216)
Asymmetric unit:
Sr (0.0000, 0.0000, 0.0000)  4 Zn 3.07
Zn (0.2500, 0.2500, 0.7500)  4 Sr 3.07



(4)
First-principles (PBE-GGA) data for a geometry-optimized SrZn structure, as listed in OQMD via LeMat-Bulk.

Summary:
E, eV/atom: -1.648

Cell lengths 7.5991, 4.9165, 6.4474 Å; angles 90.00, 90.00, 90.00 degrees
With the nearest neighbours (Å) after each atom.
Space group Pnma (No. 62)
Asymmetric unit:
Sr (0.1764, 0.2500, 0.1353)  7 Zn 3.16-3.53
Zn (0.0348, 0.2500, 0.6140)  2 Zn 2.91, 1 Sr 3.16



(5)
First-principles (PBE-GGA) data for a geometry-optimized SrZn structure, as listed in OQMD via LeMat-Bulk.

Summary:
E, eV/atom: -1.636

Cell lengths 4.5032, 21.4492, 6.5456 Å; angles 90.00, 90.00, 90.00 degrees
With the nearest neighbours (Å) after each atom.
Space group Amm2 (No. 38)
Asymmetric unit:
Sr (0.0000, 0.0000, 0.0000)  10 Zn 3.34-3.54
Sr (0.0000, 0.1886, 0.2556)  3 Zn 3.18-3.27
Sr (0.5000, 0.1429, 0.7603)  4 Zn 3.25-3.46
Zn (0.0000, 0.0608, 0.5021)  5 Zn 2.61-2.72
Zn (0.5000, 0.0000, 0.5970)  6 Zn 2.68-2.69
Zn (0.5000, 0.0785, 0.2758)  3 Zn 2.69-2.72



(6)
First-principles (PBE-GGA) data for a geometry-optimized SrZn structure, as listed in OQMD via LeMat-Bulk.

Summary:
E, eV/atom: -1.294

Cell lengths 7.5227, 7.5227, 4.8802 Å; angles 90.00, 90.00, 120.00 degrees
With the nearest neighbours (Å) after each atom.
Space group P-6m2 (No. 187)
Asymmetric unit:
Sr (0.0000, 0.0000, 0.0000)  6 Sr 3.40, 6 Zn 3.81
Sr (0.3635, 0.1818, 0.5000)  4 Sr 3.40-3.42, 6 Zn 3.47-3.77
Zn (0.0905, 0.5453, 0.0000)  4 Zn 2.74-2.91
Zn (0.3333, 0.6667, 0.5000)  6 Zn 2.91



(7)
First-principles (PBE-GGA) data for a geometry-optimized SrZn structure, as listed in OQMD via LeMat-Bulk.

Summary:
E, eV/atom: -1.569

Cell lengths 8.3446, 5.3048, 8.5202 Å; angles 90.00, 108.87, 90.00 degrees
With the nearest neighbours (Å) after each atom.
Space group P2_1/m (No. 11)
Asymmetric unit:
Sr (0.1689, 0.2500, 0.3183)  7 Zn 3.12-3.45
Sr (0.2570, 0.7500, 0.0745)  4 Zn 3.24-3.49, 2 Sr 3.59
Sr (0.2646, 0.2500, 0.7573)  6 Zn 3.21-3.38, 1 Sr 3.56
Zn (0.1089, 0.7500, 0.5091)  1 Zn 2.62
Zn (0.4220, 0.7500, 0.5068)  2 Zn 2.62-2.69
Zn (0.4920, 0.2500, 0.1604)  1 Zn 2.69



(8)
First-principles (PBE-GGA) data for a geometry-optimized SrZn structure, as listed in OQMD via LeMat-Bulk.

Summary:
E, eV/atom: -1.602

Cell lengths 8.2387, 4.6265, 9.9544 Å; angles 90.00, 98.06, 90.00 degrees
With the nearest neighbours (Å) after each atom.
Space group P2_1/m (No. 11)
Asymmetric unit:
Sr (0.1469, 0.2500, 0.1045)  4 Zn 3.22-3.41
Sr (0.3331, 0.7500, 0.3966)  4 Zn 3.16-3.44
Sr (0.3496, 0.7500, 0.8247)  5 Zn 3.30-3.39
Zn (0.0083, 0.7500, 0.5951)  3 Zn 2.60-2.83
Zn (0.0485, 0.2500, 0.7605)  1 Zn 2.51
Zn (0.2474, 0.2500, 0.5911)  2 Zn 2.51-2.60



Look up the E of the second one. -1.528 eV/atom